Record 1
TiAg3B after structural relaxation. Source: Alexandria via LeMat-Bulk, functional PBE.

```
data_TiAg3B
_symmetry_space_group_name_H-M 'P 1'
_symmetry_Int_Tables_number 1
_cell_length_a 5.0645
_cell_length_b 5.0645
_cell_length_c 5.0645
_cell_angle_alpha 90.00
_cell_angle_beta 90.00
_cell_angle_gamma 90.00
loop_
_symmetry_equiv_pos_as_xyz
'x,y,z'
loop_
_atom_site_label
_atom_site_type_symbol
_atom_site_fract_x
_atom_site_fract_y
_atom_site_fract_z
_atom_site_occupancy
Ag1 Ag 0.5000 0.0000 0.0000 1
B1 B 0.5000 0.5000 0.5000 1
Ti1 Ti 0.0000 0.0000 0.0000 1
Ag2 Ag 0.0000 0.0000 0.5000 1
Ag3 Ag 0.0000 0.5000 0.0000 1
```

Calculated values
As for the total energy: -0.19557 Ry/atom. The energy above the most stable polymorph in this dataset comes out at 33.15 kcal/mol of atoms. The value obtained for the formation energy is 1.96 eV/atom.



Record 2
LaTa2H after structural relaxation. Source: Alexandria via LeMat-Bulk, functional PBE.

```
data_LaTa2H
_symmetry_space_group_name_H-M 'P 1'
_symmetry_Int_Tables_number 1
_cell_length_a 5.9956
_cell_length_b 5.9956
_cell_length_c 6.0024
_cell_angle_alpha 60.04
_cell_angle_beta 60.04
_cell_angle_gamma 90.00
loop_
_symmetry_equiv_pos_as_xyz
'x,y,z'
loop_
_atom_site_label
_atom_site_type_symbol
_atom_site_fract_x
_atom_site_fract_y
_atom_site_fract_z
_atom_site_occupancy
Ta1 Ta 0.8750 0.6250 0.7500 1
Ta2 Ta 0.3750 0.1250 0.2500 1
Ta3 Ta 0.3750 0.6250 0.2500 1
La1 La 0.7500 0.2500 0.5000 1
Ta4 Ta 0.3750 0.6250 0.7500 1
H1 H 0.5000 0.5000 0.0000 1
H2 H 0.2500 0.7500 0.5000 1
La2 La 0.0000 0.0000 0.0000 1
```

Calculated values
As for the total energy: -0.57629 Ry/atom. The energy above the most stable polymorph in this dataset comes out at 0.00 kcal/mol of atoms.



Record 3
TaTcSb2I after structural relaxation. Source: Alexandria via LeMat-Bulk, functional PBE.

```
data_TaTcSb2I
_symmetry_space_group_name_H-M 'P 1'
_symmetry_Int_Tables_number 1
_cell_length_a 5.3723
_cell_length_b 5.3723
_cell_length_c 5.5553
_cell_angle_alpha 90.00
_cell_angle_beta 90.00
_cell_angle_gamma 90.00
loop_
_symmetry_equiv_pos_as_xyz
'x,y,z'
loop_
_atom_site_label
_atom_site_type_symbol
_atom_site_fract_x
_atom_site_fract_y
_atom_site_fract_z
_atom_site_occupancy
Sb1 Sb 0.0000 0.5000 0.0000 1
I1 I 0.0000 0.0000 0.5000 1
Ta1 Ta 0.0000 0.0000 0.0000 1
Tc1 Tc 0.5000 0.5000 0.5000 1
Sb2 Sb 0.5000 0.0000 0.0000 1
```

Calculated values
As for the total energy: -0.37777 Ry/atom. The calculation puts the uncorrected formation energy at 121.85 kJ per mole of atoms. The energy above the most stable polymorph in this dataset comes out at 0.00 kcal/mol of atoms.



Record 4
YCdIr after structural relaxation. Source: Alexandria via LeMat-Bulk, functional PBE.

```
data_YCdIr
_symmetry_space_group_name_H-M 'P 1'
_symmetry_Int_Tables_number 1
_cell_length_a 5.4576
_cell_length_b 5.4576
_cell_length_c 5.4576
_cell_angle_alpha 144.03
_cell_angle_beta 138.86
_cell_angle_gamma 55.78
loop_
_symmetry_equiv_pos_as_xyz
'x,y,z'
loop_
_atom_site_label
_atom_site_type_symbol
_atom_site_fract_x
_atom_site_fract_y
_atom_site_fract_z
_atom_site_occupancy
Cd1 Cd 0.9888 0.9888 0.0000 1
Y1 Y 0.6818 0.6818 0.0000 1
Ir1 Ir 0.3294 0.3294 0.0000 1
```

Calculated values
As for the total energy: -0.42587 Ry/atom. The value obtained for the formation energy is -0.38 eV/atom.



Record 5
YVFe3 after structural relaxation. Source: Alexandria via LeMat-Bulk, functional PBE.

```
data_YVFe3
_symmetry_space_group_name_H-M 'P 1'
_symmetry_Int_Tables_number 1
_cell_length_a 4.3532
_cell_length_b 4.3532
_cell_length_c 4.3532
_cell_angle_alpha 90.00
_cell_angle_beta 90.00
_cell_angle_gamma 90.00
loop_
_symmetry_equiv_pos_as_xyz
'x,y,z'
loop_
_atom_site_label
_atom_site_type_symbol
_atom_site_fract_x
_atom_site_fract_y
_atom_site_fract_z
_atom_site_occupancy
Y1 Y 0.5000 0.5000 0.5000 1
V1 V 0.0000 0.0000 0.0000 1
Fe1 Fe 0.0000 0.5000 0.0000 1
Fe2 Fe 0.5000 0.0000 0.0000 1
Fe3 Fe 0.0000 0.0000 0.5000 1
```

Calculated values
As for the total energy: -0.56446 Ry/atom. The energy above the most stable polymorph in this dataset comes out at 0.00 kcal/mol of atoms. The value obtained for the formation energy is 0.51 eV/atom.



Record 6
CsSc2Au after structural relaxation. Source: Alexandria via LeMat-Bulk, functional PBE.

```
data_CsSc2Au
_symmetry_space_group_name_H-M 'P 1'
_symmetry_Int_Tables_number 1
_cell_length_a 5.1724
_cell_length_b 5.1724
_cell_length_c 5.1724
_cell_angle_alpha 60.00
_cell_angle_beta 60.00
_cell_angle_gamma 60.00
loop_
_symmetry_equiv_pos_as_xyz
'x,y,z'
loop_
_atom_site_label
_atom_site_type_symbol
_atom_site_fract_x
_atom_site_fract_y
_atom_site_fract_z
_atom_site_occupancy
Sc1 Sc 0.2500 0.2500 0.2500 1
Au1 Au 0.5000 0.5000 0.5000 1
Cs1 Cs 0.0000 0.0000 0.0000 1
Sc2 Sc 0.7500 0.7500 0.7500 1
```

Calculated values
As for the total energy: -0.28293 Ry/atom. The energy above the most stable polymorph in this dataset comes out at 5.53 kcal/mol of atoms. The value obtained for the formation energy is 0.35 eV/atom.



no.,magnetic moment (μB/atom)
1,0.339
2,0.000
3,0.986
4,0.000
5,0.684
6,0.000